<A>
Below is a geometry-optimized Nd6YTm2 structure, with properties calculated at the GGA-PBE level.

volume = 33.59 Å³ per atom
space-group type = No. 15
magnetic moment = 0.000 μB per formula unit

```
Nd6YTm2
1.0
-0.639 5.347 1.974
3.978 -6.151 9.618
11.148 -3.052 3.546
Nd Tm Y
12 4 2
Direct
0.580 0.580 0.079
0.167 0.497 0.333
0.080 0.079 0.580
0.336 0.001 0.169
0.420 0.420 0.921
0.833 0.503 0.667
0.164 0.831 0.999
0.664 0.999 0.831
0.667 0.333 0.497
0.333 0.667 0.503
0.920 0.921 0.420
0.836 0.169 0.001
0.501 0.833 0.667
0.499 0.167 0.333
0.999 0.333 0.167
0.001 0.667 0.833
0.250 0.249 0.751
0.750 0.751 0.249
```

=====

<B>
Below is a geometry-optimized Nd6YTm2 structure, with properties calculated at the GGA-PBE level.

volume = 34.15 Å³ per atom
space-group type = No. 15
magnetic moment = 0.000 μB per formula unit

```
Nd6YTm2
1.0
6.161 0.959 0.929
2.992 10.454 -0.098
2.992 0.241 10.451
Nd Tm Y
12 4 2
Direct
0.187 0.007 0.577
0.264 0.849 0.937
0.813 0.993 0.423
0.764 0.937 0.849
0.404 0.673 0.437
0.904 0.437 0.673
0.596 0.327 0.563
0.236 0.063 0.151
0.313 0.423 0.993
0.096 0.563 0.327
0.736 0.151 0.063
0.687 0.577 0.007
0.205 0.630 0.764
0.705 0.764 0.630
0.795 0.370 0.236
0.295 0.236 0.370
0.250 0.180 0.820
0.750 0.820 0.180
```

=====

Which one is most stable, and which one is least stable? <A> is the most stable of them, while <B> is the least stable.

=====

<A>
Below is a geometry-optimized NdY2Tm4 structure, with properties calculated at the GGA-PBE level.

volume = 31.46 Å³ per atom
space-group type = No. 12
magnetic moment = 0.000 μB per formula unit

```
NdY2Tm4
1.0
3.481 -0.250 0.314
-2.615 8.333 -3.444
0.920 -1.268 8.324
Y Tm Nd
2 4 1
Direct
0.640 0.570 0.859
0.360 0.430 0.141
0.808 0.164 0.712
0.192 0.836 0.288
0.412 0.707 0.588
0.588 0.293 0.412
0.000 0.000 0.000
```

=====

<B>
Below is a geometry-optimized NdY2Tm4 structure, with properties calculated at the GGA-PBE level.

volume = 31.69 Å³ per atom
space-group type = No. 1
magnetic moment = 0.000 μB per formula unit

```
NdY2Tm4
1.0
1.566 -6.676 5.369
-4.373 -4.500 -8.098
7.372 4.352 2.371
Tm Y Nd
8 4 2
Direct
0.948 0.158 0.239
0.737 0.560 0.767
0.728 0.847 0.646
0.390 0.601 0.611
0.501 0.500 0.033
0.952 0.922 0.395
0.363 0.906 0.523
0.305 0.142 0.391
0.798 0.330 0.906
0.559 0.224 0.138
0.150 0.546 0.876
0.596 0.961 0.251
0.073 0.754 0.685
0.149 0.300 0.037
```

=====

Which one is most stable, and which one is least stable? <A> is the most stable of them, while <B> is the least stable.

=====

<A>
Below is a geometry-optimized Nd4Y3Tm4 structure, with properties calculated at the GGA-PBE level.

volume = 32.92 Å³ per atom
space-group type = No. 2
magnetic moment = 0.000 μB per formula unit

```
Nd4Y3Tm4
1.0
3.582 -0.016 0.282
-0.044 5.530 0.871
0.344 -0.041 18.300
Tm Nd Y
4 4 3
Direct
0.265 0.265 0.470
0.095 0.092 0.815
0.905 0.908 0.185
0.735 0.735 0.530
0.446 0.448 0.105
0.678 0.177 0.645
0.554 0.552 0.895
0.322 0.823 0.355
0.000 0.000 0.000
0.148 0.646 0.708
0.852 0.354 0.292
```

=====

<B>
Below is a geometry-optimized Nd4Y3Tm4 structure, with properties calculated at the GGA-PBE level.

volume = 32.45 Å³ per atom
space-group type = No. 71
magnetic moment = 0.000 μB per formula unit

```
Nd4Y3Tm4
1.0
-3.452 -0.749 0.148
0.540 -3.384 -4.505
1.995 -15.853 8.596
Nd Y Tm
4 3 4
Direct
0.409 0.909 0.181
0.268 0.268 0.465
0.591 0.091 0.819
0.732 0.732 0.535
0.864 0.364 0.272
0.000 0.000 0.000
0.136 0.636 0.728
0.681 0.181 0.639
0.454 0.455 0.090
0.319 0.819 0.361
0.546 0.545 0.910
```

=====

Which one is most stable, and which one is least stable? <A> is the most stable of them, while <B> is the least stable.

=====

<A>
Below is a geometry-optimized Nd7Y3Tm2 structure, with properties calculated at the GGA-PBE level.

volume = 35.42 Å³ per atom
space-group type = No. 166
magnetic moment = 0.000 μB per formula unit

```
Nd7Y3Tm2
1.0
-3.920 -1.111 5.224
2.054 -3.956 4.901
3.855 7.121 8.608
Nd Y Tm
7 3 2
Direct
0.588 0.588 0.748
0.412 0.924 0.252
0.500 0.500 0.500
0.924 0.412 0.252
0.588 0.076 0.748
0.076 0.588 0.748
0.412 0.412 0.252
0.849 0.849 0.454
0.000 0.000 0.000
0.151 0.151 0.546
0.334 0.334 0.997
0.666 0.666 0.003
```

=====

<B>
Below is a geometry-optimized Nd7Y3Tm2 structure, with properties calculated at the GGA-PBE level.

volume = 33.92 Å³ per atom
space-group type = No. 10
magnetic moment = 0.000 μB per formula unit

```
Nd7Y3Tm2
1.0
3.631 0.000 0.000
0.000 5.886 -0.260
0.000 -3.798 19.212
Nd Y Tm
7 3 2
Direct
0.500 0.723 0.465
0.500 0.997 0.816
0.000 0.532 0.854
0.000 0.468 0.146
0.000 0.000 0.000
0.500 0.277 0.535
0.500 0.003 0.184
0.000 0.852 0.633
0.500 0.500 0.000
0.000 0.148 0.367
0.500 0.411 0.702
0.500 0.589 0.298
```

=====

Which one is most stable, and which one is least stable? <B> is the most stable of them, while <A> is the least stable.

=====

<A>
Below is a geometry-optimized NdY7Tm2 structure, with properties calculated at the GGA-PBE level.

volume = 32.86 Å³ per atom
space-group type = No. 65
magnetic moment = 0.001 μB per formula unit

```
NdY7Tm2
1.0
3.446 0.000 0.000
0.000 10.465 -10.906
0.000 -4.958 14.278
Y Tm Nd
7 2 1
Direct
0.000 0.691 0.309
0.500 0.855 0.653
0.500 0.500 0.500
0.500 0.145 0.347
0.000 0.309 0.691
0.500 0.347 0.145
0.500 0.653 0.855
0.500 0.207 0.793
0.500 0.793 0.207
0.000 0.000 0.000
```

=====

<B>
Below is a geometry-optimized NdY7Tm2 structure, with properties calculated at the GGA-PBE level.

volume = 39.73 Å³ per atom
space-group type = No. 65
magnetic moment = 0.000 μB per formula unit

```
NdY7Tm2
1.0
-2.298 5.107 0.987
-3.437 -3.052 7.794
8.217 3.771 -0.380
Y Tm Nd
7 2 1
Direct
0.500 0.296 0.060
0.500 0.060 0.296
0.500 0.500 0.500
0.000 0.226 0.774
0.000 0.774 0.226
0.500 0.704 0.940
0.500 0.940 0.704
0.500 0.297 0.703
0.500 0.703 0.297
0.000 0.000 0.000
```

=====

Which one is most stable, and which one is least stable? <A> is the most stable of them, while <B> is the least stable.

=====

<A>
Below is a geometry-optimized NdYTm4 structure, with properties calculated at the GGA-PBE level.

volume = 33.19 Å³ per atom
space-group type = No. 216
magnetic moment = 1.529 μB per formula unit

```
NdYTm4
1.0
6.555 0.000 0.000
3.277 5.677 0.000
3.277 1.892 5.352
Tm Y Nd
4 1 1
Direct
0.123 0.626 0.626
0.626 0.626 0.123
0.626 0.626 0.626
0.626 0.123 0.626
0.000 0.000 0.000
0.250 0.250 0.250
```

=====

<B>
Below is a geometry-optimized NdYTm4 structure, with properties calculated at the GGA-PBE level.

volume = 32.10 Å³ per atom
space-group type = No. 15
magnetic moment = 0.000 μB per formula unit

```
NdYTm4
1.0
-1.937 -0.903 -6.120
6.822 -5.231 2.331
-7.110 -2.026 4.124
Tm Nd Y
8 2 2
Direct
0.742 0.711 0.609
0.258 0.289 0.391
0.367 0.897 0.609
0.957 0.834 0.266
0.191 0.568 0.734
0.809 0.432 0.266
0.043 0.166 0.734
0.633 0.103 0.391
0.753 0.003 0.006
0.247 0.997 0.994
0.337 0.587 0.174
0.663 0.413 0.826
```

=====

<C>
Below is a geometry-optimized NdYTm4 structure, with properties calculated at the GGA-PBE level.

volume = 31.19 Å³ per atom
space-group type = No. 12
magnetic moment = 0.000 μB per formula unit

```
NdYTm4
1.0
-1.374 2.339 4.168
0.070 -7.787 1.423
5.619 9.139 -3.267
Y Tm Nd
1 4 1
Direct
0.000 0.000 0.000
0.167 0.333 0.498
0.833 0.667 0.502
0.334 0.668 0.001
0.666 0.332 0.998
0.500 0.000 0.500
```

=====

Which one is most stable, and which one is least stable? <C> is the most stable of them, while <A> is the least stable.

=====

<A>
Below is a geometry-optimized Nd3YTm6 structure, with properties calculated at the GGA-PBE level.

volume = 32.28 Å³ per atom
space-group type = No. 36
magnetic moment = 0.000 μB per formula unit

```
Nd3YTm6
1.0
6.344 0.000 0.000
0.000 10.703 -1.570
0.000 -3.919 10.083
Tm Nd Y
12 6 2
Direct
0.654 0.267 0.733
0.546 0.285 0.378
0.372 0.053 0.474
0.154 0.733 0.267
0.046 0.715 0.622
0.546 0.622 0.715
0.372 0.526 0.947
0.872 0.947 0.526
0.046 0.378 0.285
0.356 0.965 0.035
0.856 0.035 0.965
0.872 0.474 0.053
0.470 0.294 0.067
0.970 0.067 0.294
0.570 0.612 0.388
0.970 0.706 0.933
0.070 0.388 0.612
0.470 0.933 0.706
0.631 0.811 0.189
0.131 0.189 0.811
```

=====

<B>
Below is a geometry-optimized Nd3YTm6 structure, with properties calculated at the GGA-PBE level.

volume = 32.21 Å³ per atom
space-group type = No. 2
magnetic moment = 0.000 μB per formula unit

```
Nd3YTm6
1.0
-1.952 -5.382 3.086
8.932 -3.418 -0.131
-0.226 5.794 3.039
Nd Tm Y
3 6 1
Direct
0.142 0.692 0.135
0.858 0.308 0.865
0.000 0.000 0.000
0.655 0.947 0.296
0.004 0.314 0.444
0.439 0.314 0.306
0.345 0.053 0.704
0.561 0.686 0.694
0.996 0.686 0.556
0.500 0.500 0.000
```

=====

Which one is most stable, and which one is least stable? <A> is the most stable of them, while <B> is the least stable.

=====

<A>
Below is a geometry-optimized Nd8Y2Tm structure, with properties calculated at the GGA-PBE level.

volume = 34.76 Å³ per atom
space-group type = No. 12
magnetic moment = 0.000 μB per formula unit

```
Nd8Y2Tm
1.0
5.095 1.182 2.633
0.972 9.407 6.863
0.099 4.000 10.978
Nd Y Tm
8 2 1
Direct
0.322 0.316 0.860
0.322 0.860 0.316
0.678 0.140 0.684
0.678 0.684 0.140
0.785 0.607 0.607
0.368 0.816 0.816
0.215 0.393 0.393
0.632 0.184 0.184
0.036 0.732 0.732
0.964 0.268 0.268
0.000 0.000 0.000
```

=====

<B>
Below is a geometry-optimized Nd8Y2Tm structure, with properties calculated at the GGA-PBE level.

volume = 34.73 Å³ per atom
space-group type = No. 12
magnetic moment = 0.000 μB per formula unit

```
Nd8Y2Tm
1.0
5.751 1.704 0.000
2.724 8.777 0.000
1.362 4.388 8.336
Nd Y Tm
8 2 1
Direct
0.704 0.578 0.000
0.296 0.422 0.000
0.182 0.902 0.764
0.818 0.334 0.764
0.182 0.666 0.236
0.500 0.205 0.591
0.818 0.098 0.236
0.500 0.795 0.409
0.000 0.310 0.380
0.000 0.690 0.620
0.500 0.000 0.000
```

=====

Which one is most stable, and which one is least stable? <B> is the most stable of them, while <A> is the least stable.

=====

<A>
Below is a geometry-optimized Nd5Y3Tm2 structure, with properties calculated at the GGA-PBE level.

volume = 33.23 Å³ per atom
space-group type = No. 15
magnetic moment = 0.000 μB per formula unit

```
Nd5Y3Tm2
1.0
1.369 -4.803 -4.528
-4.395 -7.176 5.686
-7.116 3.427 -6.384
Nd Tm Y
10 4 6
Direct
0.495 0.791 0.712
0.373 0.278 0.970
0.627 0.722 0.030
0.505 0.209 0.288
0.250 0.544 0.456
0.995 0.712 0.791
0.750 0.456 0.544
0.005 0.288 0.209
0.127 0.030 0.722
0.873 0.970 0.278
0.127 0.625 0.125
0.627 0.125 0.625
0.373 0.875 0.375
0.873 0.375 0.875
0.867 0.778 0.475
0.250 0.958 0.042
0.133 0.222 0.525
0.633 0.525 0.222
0.750 0.042 0.958
0.367 0.475 0.778
```

=====

<B>
Below is a geometry-optimized Nd5Y3Tm2 structure, with properties calculated at the GGA-PBE level.

volume = 34.00 Å³ per atom
space-group type = No. 15
magnetic moment = 0.000 μB per formula unit

```
Nd5Y3Tm2
1.0
8.857 2.143 -4.346
0.636 9.059 -4.379
-2.325 -2.691 10.734
Nd Y Tm
10 6 4
Direct
0.886 0.637 0.758
0.977 0.227 0.453
0.023 0.773 0.547
0.728 0.478 0.955
0.372 0.121 0.758
0.484 0.734 0.467
0.628 0.879 0.242
0.516 0.266 0.533
0.114 0.363 0.242
0.272 0.522 0.045
0.771 0.021 0.041
0.229 0.979 0.959
0.281 0.523 0.748
0.967 0.225 0.748
0.033 0.775 0.252
0.719 0.477 0.252
0.475 0.718 0.753
0.223 0.965 0.247
0.525 0.282 0.247
0.777 0.035 0.753
```

=====

Which one is most stable, and which one is least stable? <A> is the most stable of them, while <B> is the least stable.